[1]
Here is a relaxed SmPu3Mn3 crystal from Alexandria via LeMat-Bulk. Energies are from PBE-GGA.

Properties
* V: 311.6 Å³/cell
* E_form: 0.61 eV/atom
* SG: No. 223
* magnetization: 23.51 μB per cell
* density: 11.16 g/cm3

abc: 6.7793 6.7793 6.7793
angles: 90.00 90.00 90.00
Closest atoms and distances in Å follow each position.
Atoms (fractional coordinates):
Mn1 0.5000 0.0000 0.7500  4 Pu 2.40
Mn2 0.5000 0.0000 0.2500  4 Pu 2.40
Mn3 0.2500 0.5000 0.0000  4 Pu 2.40
Mn4 0.0000 0.2500 0.5000  4 Pu 2.40
Mn5 0.0000 0.7500 0.5000  4 Pu 2.40
Mn6 0.7500 0.5000 0.0000  4 Pu 2.40
Pu1 0.0000 0.5000 0.7500  4 Mn 2.40
Pu2 0.2500 0.0000 0.5000  4 Mn 2.40
Pu3 0.5000 0.7500 0.0000  4 Mn 2.40
Pu4 0.7500 0.0000 0.5000  4 Mn 2.40
Pu5 0.5000 0.2500 0.0000  4 Mn 2.40
Pu6 0.0000 0.5000 0.2500  4 Mn 2.40
Sm1 0.5000 0.5000 0.5000  12 Mn 3.79, 12 Pu 3.79
Sm2 0.0000 0.0000 0.0000  12 Mn 3.79, 12 Pu 3.79


[2]
Here is a relaxed MnCuMo2 crystal from Alexandria via LeMat-Bulk. Energies are from PBE-GGA.

Properties
* V: 55.7 Å³/cell
* E_form: 0.21 eV/atom
* SG: No. 10
* energy above the most stable polymorph in this dataset: 0.071 eV/f.u.
* magnetization: 1.54 μB per cell
* density: 9.25 g/cm3

abc: 4.0187 2.6270 5.6093
angles: 70.20 90.00 90.00
Closest atoms and distances in Å follow each position.
Atoms (fractional coordinates):
Mn1 0.5000 0.7500 0.7500  8 Mo 2.60-2.85, 2 Mn 2.63, 2 Cu 2.66
Mo1 0.0000 0.9754 0.9920  4 Mn 2.60-2.85, 4 Mo 2.61-2.73, 4 Cu 2.71-2.81
Mo2 0.0000 0.5246 0.5080  4 Mn 2.60-2.85, 4 Mo 2.61-2.73, 4 Cu 2.71-2.81
Cu1 0.5000 0.2500 0.2500  2 Cu 2.63, 2 Mn 2.66, 8 Mo 2.71-2.81


[3]
Here is a relaxed RbCo3N crystal from Alexandria via LeMat-Bulk. Energies are from PBE-GGA.

Properties
* V: 95.7 Å³/cell
* SG: No. 221
* energy above the most stable polymorph in this dataset: 12.966 eV/f.u.
* E_form (uncorrected): 3.53 eV per atom
* magnetization: 5.43 μB per cell
* density: 4.80 g/cm3

abc: 4.5736 4.5736 4.5736
angles: 90.00 90.00 90.00
Closest atoms and distances in Å follow each position.
Atoms (fractional coordinates):
Co1 0.0000 0.5000 0.0000  2 Rb 2.29
Co2 0.5000 0.0000 0.0000  2 Rb 2.29
Co3 0.0000 0.0000 0.5000  2 Rb 2.29
Rb1 0.0000 0.0000 0.0000  6 Co 2.29
N1 0.5000 0.5000 0.5000  12 Co 3.23


[4]
Here is a relaxed Ga2AgS crystal from Alexandria via LeMat-Bulk. Energies are from PBE-GGA.

Properties
* V: 84.5 Å³/cell
* SG: No. 166
* E_form (uncorrected): -0.03 eV per atom
* magnetization: 0.00 μB per cell
* density: 5.49 g/cm3

abc: 3.4208 3.4208 8.5725
angles: 78.49 78.49 60.00
Closest atoms and distances in Å follow each position.
Atoms (fractional coordinates):
Ga1 0.8992 0.8992 0.3024  1 Ag 2.52, 3 S 2.57
Ga2 0.1008 0.1008 0.6976  1 Ag 2.52, 3 S 2.57
S1 0.5000 0.5000 0.5000  6 Ga 2.57
Ag1 0.0000 0.0000 0.0000  2 Ga 2.52


[5]
Here is a relaxed BaZnSe2 crystal from Alexandria via LeMat-Bulk. Energies are from PBE-GGA.

Properties
* V: 172.0 Å³/cell
* SG: No. 166
* E_form (uncorrected): -1.19 eV per atom
* magnetization: 0.00 μB per cell
* density: 3.48 g/cm3

abc: 8.0920 8.0920 8.0920
angles: 37.00 37.00 37.00
Closest atoms and distances in Å follow each position.
Atoms (fractional coordinates):
Zn1 0.0000 0.0000 0.0000  2 Se 2.26
Ba1 0.5000 0.5000 0.5000  6 Se 3.33
Se1 0.9000 0.9000 0.9000  1 Zn 2.26
Se2 0.1000 0.1000 0.1000  1 Zn 2.26


[6]
Here is a relaxed TiFe4Br2 crystal from Alexandria via LeMat-Bulk. Energies are from PBE-GGA.

Properties
* V: 146.2 Å³/cell
* SG: No. 139
* E_form (uncorrected): 1.04 eV per atom
* magnetization: 9.13 μB per cell
* density: 4.90 g/cm3

abc: 4.3410 4.3410 8.3437
angles: 74.92 74.92 90.00
Closest atoms and distances in Å follow each position.
Atoms (fractional coordinates):
Br1 0.6860 0.6860 0.6281  1 Fe 2.54
Br2 0.3140 0.3140 0.3719  1 Fe 2.54
Fe1 0.1502 0.1502 0.6996  1 Ti 2.33, 1 Br 2.54
Fe2 0.0000 0.5000 0.0000  2 Ti 2.17
Fe3 0.5000 0.0000 0.0000  2 Ti 2.17
Fe4 0.8498 0.8498 0.3004  1 Ti 2.33, 1 Br 2.54
Ti1 0.0000 0.0000 0.0000  6 Fe 2.17-2.33


Copy entry 6 word for word.
Here is a relaxed TiFe4Br2 crystal from Alexandria via LeMat-Bulk. Energies are from PBE-GGA.

Properties
* V: 146.2 Å³/cell
* SG: No. 139
* E_form (uncorrected): 1.04 eV per atom
* magnetization: 9.13 μB per cell
* density: 4.90 g/cm3

abc: 4.3410 4.3410 8.3437
angles: 74.92 74.92 90.00
Closest atoms and distances in Å follow each position.
Atoms (fractional coordinates):
Br1 0.6860 0.6860 0.6281  1 Fe 2.54
Br2 0.3140 0.3140 0.3719  1 Fe 2.54
Fe1 0.1502 0.1502 0.6996  1 Ti 2.33, 1 Br 2.54
Fe2 0.0000 0.5000 0.0000  2 Ti 2.17
Fe3 0.5000 0.0000 0.0000  2 Ti 2.17
Fe4 0.8498 0.8498 0.3004  1 Ti 2.33, 1 Br 2.54
Ti1 0.0000 0.0000 0.0000  6 Fe 2.17-2.33